Entry from the Alexandria database: a relaxed structure of CrSe3 (GGA-PBE).

a = 7.768 Å, b = 7.768 Å, c = 3.892 Å
α = 90.00°, β = 90.00°, γ = 122.49°
Site moments in Bohr magnetons follow the coordinates.
Element x y z (fractional)
Se 0.591 0.941 0.750  -0.18
Se 0.937 0.063 0.250  0.09
Se 0.063 0.937 0.750  0.09
Se 0.059 0.409 0.750  -0.18
Se 0.409 0.059 0.250  -0.18
Se 0.941 0.591 0.250  -0.18
Cr 0.418 0.582 0.750  3.29
Cr 0.582 0.418 0.250  3.29

Summary:
SG: Cmcm
Formation energy (no corrections) (kcal/mol of atoms): 11.40
VASP energy (eV per atom): -4.525

Entry from the Alexandria database: a relaxed structure of Be2ZnSi (GGA-PBE).

a = 3.641 Å, b = 3.642 Å, c = 3.505 Å
α = 90.00°, β = 90.00°, γ = 90.00°
Element x y z (fractional)
Be 0.000 0.000 0.000
Be 0.500 0.500 0.000
Si 0.500 0.000 0.500
Zn 0.000 0.500 0.500

Summary:
SG: P4/mmm
Formation energy (no corrections) (kcal/mol of atoms): 7.90
VASP energy (eV per atom): -3.195

Entry from the Alexandria database: a relaxed structure of TaReGe3 (GGA-PBE).

a = 4.997 Å, b = 4.997 Å, c = 4.997 Å
α = 90.00°, β = 90.00°, γ = 90.00°
Site moments in Bohr magnetons follow the coordinates.
Element x y z (fractional)
Ge 0.000 0.500 0.000  0.04
Ge 0.000 0.000 0.500  0.07
Ge 0.500 0.000 0.000  0.04
Ta 0.000 0.000 0.000  0.50
Re 0.500 0.500 0.500  3.84

Summary:
E_form (kcal/mol of atoms): 34.71
SG: Pm-3m
VASP energy (eV per atom): -6.125

Entry from the Alexandria database: a relaxed structure of Ac7Pr3 (GGA-PBE).

a = 5.562 Å, b = 7.796 Å, c = 10.334 Å
α = 101.27°, β = 105.61°, γ = 90.00°
Element x y z (fractional)
Ac 0.401 0.199 0.802
Ac 0.599 0.801 0.198
Ac 0.799 0.897 0.599
Ac 0.398 0.696 0.796
Ac 0.201 0.103 0.401
Ac 0.602 0.304 0.204
Ac 0.000 0.500 0.000
Pr 0.000 0.000 0.000
Pr 0.201 0.601 0.403
Pr 0.799 0.399 0.597

Summary:
E_form (kcal/mol of atoms): 0.53
SG: C2/m
VASP energy (eV per atom): -4.287

Entry from the Alexandria database: a relaxed structure of LaPaI (GGA-PBE).

a = 3.721 Å, b = 7.090 Å, c = 12.205 Å
α = 127.23°, β = 111.52°, γ = 102.66°
Element x y z (fractional)
I 0.427 0.277 0.034
I 0.573 0.723 0.966
Pa 0.808 0.548 0.622
Pa 0.192 0.452 0.378
La 0.547 0.918 0.305
La 0.453 0.082 0.695

Summary:
SG: P-1
Formation energy (no corrections) (kcal/mol of atoms): -5.90
VASP energy (eV per atom): -5.580

Entry from the Alexandria database: a relaxed structure of ReHg2 (GGA-PBE).

a = 9.343 Å, b = 9.343 Å, c = 2.861 Å
α = 90.00°, β = 90.00°, γ = 149.66°
Element x y z (fractional)
Re 0.058 0.942 0.750
Re 0.942 0.058 0.250
Hg 0.414 0.586 0.750
Hg 0.206 0.794 0.250
Hg 0.586 0.414 0.250
Hg 0.794 0.206 0.750

Summary:
E_form (kcal/mol of atoms): 12.72
SG: Cmcm
VASP energy (eV per atom): -3.799

Entry from the Alexandria database: a relaxed structure of ScCdPb2 (GGA-PBE).

a = 3.422 Å, b = 3.422 Å, c = 9.207 Å
α = 90.00°, β = 90.00°, γ = 90.00°
Element x y z (fractional)
Pb 0.000 0.000 0.016
Pb 0.000 0.000 0.484
Cd 0.500 0.500 0.750
Sc 0.500 0.500 0.250

Summary:
E_form (kcal/mol of atoms): -1.04
SG: P4/mmm
VASP energy (eV per atom): -3.711

Entry from the Alexandria database: a relaxed structure of Pr3PdAu3 (GGA-PBE).

a = 4.593 Å, b = 3.934 Å, c = 10.429 Å
α = 100.87°, β = 102.72°, γ = 90.00°
Element x y z (fractional)
Au 0.156 0.656 0.311
Au 0.565 0.565 0.131
Au 0.848 0.348 0.696
Pd 0.431 0.431 0.863
Pr 0.319 0.819 0.639
Pr 0.996 0.996 0.991
Pr 0.685 0.185 0.370

Summary:
E_form (kcal/mol of atoms): -17.83
SG: Imm2
VASP energy (eV per atom): -4.968

Entry from the Alexandria database: a relaxed structure of PmNd3Dy6 (GGA-PBE).

a = 9.948 Å, b = 9.948 Å, c = 6.941 Å
α = 44.23°, β = 44.23°, γ = 60.00°
Element x y z (fractional)
Nd 0.100 0.100 0.700
Nd 0.601 0.601 0.198
Nd 0.350 0.350 0.949
Dy 0.099 0.427 0.701
Dy 0.273 0.926 0.201
Dy 0.427 0.773 0.701
Dy 0.926 0.600 0.201
Dy 0.600 0.273 0.201
Dy 0.773 0.099 0.701
Pm 0.850 0.850 0.449

Summary:
E_form (kcal/mol of atoms): 6.56
SG: R3
VASP energy (eV per atom): -4.382

Entry from the Alexandria database: a relaxed structure of AsRh2Cl (GGA-PBE).

a = 6.497 Å, b = 6.497 Å, c = 3.325 Å
α = 88.72°, β = 88.72°, γ = 30.78°
Element x y z (fractional)
As 0.456 0.456 0.622
Rh 0.827 0.827 0.643
Rh 0.013 0.013 0.120
Cl 0.205 0.205 0.115

Summary:
SG: Cm
Formation energy (no corrections) (kcal/mol of atoms): -4.16
VASP energy (eV per atom): -5.480

Entry from the Alexandria database: a relaxed structure of NaDy2Pb3 (GGA-PBE).

a = 3.929 Å, b = 3.929 Å, c = 11.156 Å
α = 90.00°, β = 90.00°, γ = 90.00°
Element x y z (fractional)
Dy 0.500 0.500 0.833
Dy 0.500 0.500 0.167
Na 0.500 0.500 0.500
Pb 0.000 0.000 0.330
Pb 0.000 0.000 0.000
Pb 0.000 0.000 0.670

Summary:
E_form (kcal/mol of atoms): -7.18
SG: P4/mmm
VASP energy (eV per atom): -3.920

Entry from the Alexandria database: a relaxed structure of SrFeTe (GGA-PBE).

a = 5.286 Å, b = 5.286 Å, c = 5.286 Å
α = 60.00°, β = 60.00°, γ = 60.00°
Site moments in Bohr magnetons follow the coordinates.
Element x y z (fractional)
Sr 0.750 0.750 0.750  -0.01
Te 0.000 0.000 0.000  0.08
Fe 0.500 0.500 0.500  3.18

Summary:
SG: F-43m
Formation energy (no corrections) (kcal/mol of atoms): 8.31
VASP energy (eV per atom): -4.068

Entry from the Alexandria database: a relaxed structure of Ba2HfBi3O12 (GGA-PBE).

a = 7.736 Å, b = 7.736 Å, c = 7.736 Å
α = 60.09°, β = 60.09°, γ = 60.09°
Site moments in Bohr magnetons follow the coordinates.
Element x y z (fractional)
O 0.055 0.667 0.667  0.03
O 0.680 0.074 0.074  0.14
O 0.945 0.333 0.333  0.03
O 0.667 0.667 0.055  0.03
O 0.667 0.055 0.667  0.03
O 0.333 0.945 0.333  0.03
O 0.074 0.074 0.680  0.14
O 0.926 0.926 0.320  0.14
O 0.074 0.680 0.074  0.14
O 0.926 0.320 0.926  0.14
O 0.320 0.926 0.926  0.14
O 0.333 0.333 0.945  0.03
Ba 0.677 0.677 0.677  0.00
Ba 0.323 0.323 0.323  0.00
Bi 0.000 0.000 0.500  -0.01
Bi 0.500 0.000 0.000  -0.01
Bi 0.000 0.500 0.000  -0.01
Hf 0.000 0.000 0.000  -0.03

Summary:
SG: R-3m
Formation energy (no corrections) (kcal/mol of atoms): -37.50
VASP energy (eV per atom): -6.345

Entry from the Alexandria database: a relaxed structure of RbAsO4 (GGA-PBE).

a = 6.601 Å, b = 6.601 Å, c = 6.601 Å
α = 109.61°, β = 109.61°, γ = 109.20°
Site moments in Bohr magnetons follow the coordinates.
Element x y z (fractional)
O 0.508 0.963 0.248  0.43
O 0.715 0.260 0.752  0.43
O 0.037 0.285 0.545  0.43
O 0.242 0.990 0.955  0.43
O 0.035 0.287 0.045  0.43
O 0.740 0.492 0.455  0.43
O 0.010 0.965 0.252  0.43
O 0.713 0.758 0.748  0.43
As 0.000 0.000 0.000  -0.02
As 0.750 0.250 0.500  -0.02
Rb 0.500 0.500 0.000  0.00
Rb 0.250 0.750 0.500  0.00

Summary:
SG: I-42d
Formation energy (no corrections) (kcal/mol of atoms): -19.95
VASP energy (eV per atom): -5.107

Entry from the Alexandria database: a relaxed structure of ReGe2Sb (GGA-PBE).

a = 5.891 Å, b = 5.891 Å, c = 7.377 Å
α = 66.47°, β = 66.47°, γ = 90.00°
Element x y z (fractional)
Re 0.750 0.250 0.500
Re 0.000 0.000 0.000
Ge 0.875 0.927 0.750
Ge 0.677 0.125 0.250
Ge 0.375 0.323 0.750
Ge 0.073 0.625 0.250
Sb 0.250 0.750 0.500
Sb 0.500 0.500 0.000

Summary:
SG: I-42d
Formation energy (no corrections) (kcal/mol of atoms): 15.97
VASP energy (eV per atom): -5.759

Entry from the Alexandria database: a relaxed structure of KTa2Te (GGA-PBE).

a = 4.997 Å, b = 4.997 Å, c = 4.997 Å
α = 60.00°, β = 60.00°, γ = 60.00°
Element x y z (fractional)
Ta 0.000 0.000 0.000
Ta 0.250 0.250 0.250
Te 0.750 0.750 0.750
K 0.500 0.500 0.500

Summary:
SG: F-43m
Formation energy (no corrections) (kcal/mol of atoms): 23.90
VASP energy (eV per atom): -5.950

Entry from the Alexandria database: a relaxed structure of Pa2Be16Rh (GGA-PBE).

a = 5.914 Å, b = 5.914 Å, c = 5.914 Å
α = 83.35°, β = 83.35°, γ = 83.35°
Element x y z (fractional)
Be 0.722 0.275 0.998
Be 0.847 0.338 0.338
Be 0.998 0.722 0.275
Be 0.661 0.158 0.661
Be 0.003 0.495 0.003
Be 0.104 0.104 0.104
Be 0.338 0.847 0.338
Be 0.661 0.661 0.158
Be 0.722 0.998 0.275
Be 0.275 0.998 0.722
Be 0.998 0.275 0.722
Be 0.275 0.722 0.998
Be 0.158 0.661 0.661
Be 0.338 0.338 0.847
Be 0.495 0.003 0.003
Be 0.003 0.003 0.495
Rh 0.898 0.898 0.898
Pa 0.347 0.347 0.347
Pa 0.658 0.658 0.658

Summary:
E_form (kcal/mol of atoms): -3.72
SG: R3m
VASP energy (eV per atom): -4.686

Entry from the Alexandria database: a relaxed structure of NaPt3 (GGA-PBE).

a = 4.949 Å, b = 4.949 Å, c = 2.757 Å
α = 90.00°, β = 90.00°, γ = 110.12°
Element x y z (fractional)
Na 0.000 0.000 0.000
Pt 0.500 0.000 0.500
Pt 0.500 0.500 0.000
Pt 0.000 0.500 0.500

Summary:
E_form (kcal/mol of atoms): -4.09
SG: Cmmm
VASP energy (eV per atom): -5.038

Entry from the Alexandria database: a relaxed structure of Ca2NbW (GGA-PBE).

a = 8.386 Å, b = 8.386 Å, c = 6.550 Å
α = 50.20°, β = 50.20°, γ = 90.00°
Site moments in Bohr magnetons follow the coordinates.
Element x y z (fractional)
Ca 0.375 0.362 0.750  0.03
Ca 0.875 0.888 0.750  0.02
Ca 0.112 0.625 0.250  0.03
Ca 0.638 0.125 0.250  0.03
Nb 0.500 0.500 0.000  1.07
Nb 0.250 0.750 0.500  1.08
W 0.750 0.250 0.500  -0.77
W 0.000 0.000 0.000  -0.77

Summary:
E_form (kcal/mol of atoms): 33.37
SG: I-42d
VASP energy (eV per atom): -5.309

Entry from the Alexandria database: a relaxed structure of KNb3P3O15 (GGA-PBE).

a = 6.562 Å, b = 13.549 Å, c = 14.982 Å
α = 90.00°, β = 90.00°, γ = 90.55°
Site moments in Bohr magnetons follow the coordinates.
Element x y z (fractional)
O 0.314 0.442 0.387  0.00
O 0.314 0.297 0.718  0.00
O 0.186 0.058 0.887  0.00
O 0.000 0.500 0.000  -0.02
O 0.996 0.795 0.048  0.00
O 0.000 0.312 0.106  0.00
O 0.500 0.000 0.000  -0.03
O 0.812 0.143 0.478  0.00
O 0.006 0.300 0.445  0.00
O 0.189 0.794 0.778  0.00
O 0.501 0.135 0.346  -0.02
O 0.004 0.205 0.952  0.00
O 0.495 0.332 0.283  0.00
O 0.490 0.138 0.765  0.01
O 0.186 0.203 0.218  0.00
O 0.495 0.935 0.826  -0.03
O 0.499 0.730 0.897  0.00
O 0.494 0.200 0.945  0.00
O 0.805 0.062 0.886  0.00
O 0.990 0.638 0.735  0.01
O 0.811 0.206 0.222  0.00
O 0.500 0.188 0.606  0.00
O 0.500 0.000 0.500  -0.02
O 0.010 0.362 0.265  0.01
O 0.188 0.857 0.522  0.00
O 0.005 0.565 0.326  -0.03
O 0.500 0.812 0.394  0.00
O 0.001 0.635 0.154  -0.02
O 0.195 0.938 0.114  0.00
O 0.815 0.860 0.519  0.00
O 0.505 0.065 0.174  -0.03
O 0.688 0.357 0.978  0.00
O 0.305 0.562 0.614  0.00
O 0.000 0.500 0.500  -0.03
O 0.994 0.700 0.555  0.00
O 0.685 0.640 0.019  0.00
O 0.001 0.770 0.397  0.00
O 0.496 0.295 0.452  0.00
O 0.814 0.797 0.782  0.00
O 0.311 0.706 0.278  0.00
O 0.686 0.558 0.613  0.00
O 0.499 0.865 0.654  -0.02
O 0.695 0.438 0.386  0.00
O 0.995 0.435 0.674  -0.03
O 0.312 0.643 0.022  0.00
O 0.505 0.668 0.717  0.00
O 0.995 0.832 0.217  0.00
O 0.185 0.140 0.481  0.00
O 0.506 0.800 0.055  0.00
O 0.504 0.705 0.548  0.00
O 0.005 0.168 0.783  0.00
O 0.501 0.270 0.103  0.00
O 0.315 0.360 0.981  0.00
O 0.999 0.230 0.603  0.00
O 0.999 0.365 0.846  -0.02
O 0.814 0.942 0.113  0.00
O 0.686 0.703 0.282  0.00
O 0.510 0.862 0.235  0.01
O 0.689 0.294 0.722  0.00
O 0.000 0.688 0.894  0.00
Nb 0.502 0.859 0.526  0.34
Nb 0.998 0.641 0.026  0.34
Nb 0.998 0.562 0.613  0.34
Nb 0.498 0.141 0.474  0.34
Nb 0.004 0.307 0.723  0.35
Nb 0.498 0.062 0.887  0.34
Nb 0.002 0.438 0.387  0.34
Nb 0.496 0.193 0.223  0.35
Nb 0.504 0.807 0.777  0.35
Nb 0.502 0.938 0.113  0.34
Nb 0.996 0.693 0.277  0.35
Nb 0.002 0.359 0.974  0.34
P 0.999 0.728 0.798  0.00
P 0.500 0.707 0.997  0.01
P 0.000 0.126 0.879  0.00
P 0.500 0.293 0.003  0.01
P 0.500 0.626 0.621  0.00
P 0.000 0.207 0.503  0.01
P 0.000 0.874 0.121  0.00
P 0.000 0.793 0.497  0.01
P 0.001 0.272 0.202  0.00
P 0.501 0.772 0.298  0.00
P 0.500 0.374 0.379  0.00
P 0.499 0.228 0.702  0.00
K 0.096 0.982 0.684  0.00
K 0.404 0.518 0.184  0.00
K 0.596 0.482 0.816  0.00
K 0.904 0.018 0.316  0.00

Summary:
SG: P2_1/c
Formation energy (no corrections) (kcal/mol of atoms): -55.87
VASP energy (eV per atom): -7.964

Entry from the Alexandria database: a relaxed structure of ReAgBr2 (GGA-PBE).

a = 8.738 Å, b = 8.738 Å, c = 6.762 Å
α = 49.75°, β = 49.75°, γ = 90.00°
Element x y z (fractional)
Br 0.981 0.625 0.250
Br 0.769 0.125 0.250
Br 0.875 0.019 0.750
Br 0.375 0.231 0.750
Re 0.000 0.000 0.000
Re 0.750 0.250 0.500
Ag 0.500 0.500 0.000
Ag 0.250 0.750 0.500

Summary:
SG: I-42d
Formation energy (no corrections) (kcal/mol of atoms): 15.60
VASP energy (eV per atom): -3.985